DFT (GGA-PBE) results for a geometry-optimized HfZr2Ga2 structure.

a b c (Å): 4.0005 4.0005 6.9010
angles (deg): 106.85 106.85 90.00
Last column: nearest neighbours and their distance in Å.
Positions (direct):
Hf 0.0000 0.0000 0.0000  8 Ga 3.06
Zr 0.2500 0.7500 0.5000  4 Ga 2.81, 4 Zr 2.83
Zr 0.7500 0.2500 0.5000  4 Ga 2.81, 4 Zr 2.83
Ga 0.5930 0.5930 0.1860  1 Ga 2.34
Ga 0.4070 0.4070 0.8140  1 Ga 2.34

DFT total energy in eV per atom: -6.87
ρ in g/cm³: 8.25